18
Lattice="6.2461 7.7561 -0.3370 -6.2461 7.7561 -0.3370 0.0000 1.5944 3.5459" Properties=species:S:1:pos:R:3 comment="Ge2SeF6 | Alexandria | PBE | relaxed" e_form_raw_ev_per_atom=-1.784 energy_ev_per_atom=-4.44 pbc="T T T"
Se 5.5360 8.1548 0.5494
Se -5.5360 8.9520 2.3224
F 1.3632 6.8772 1.6560
F -3.5043 10.8424 3.0687
F -1.3632 10.2296 1.2158
F 1.8850 4.1870 0.7551
F -1.3632 6.0800 -0.1169
F 3.5043 6.2643 -0.1968
F 3.5043 10.0452 1.2957
F -3.5043 7.0615 1.5761
F 1.3632 11.0268 2.9888
F -1.8850 12.9197 2.1167
F -1.8850 4.9842 2.5281
F 1.8850 12.1225 0.3438
Ge -1.8070 6.5848 1.7962
Ge -1.8070 11.3191 2.8486
Ge 1.8070 5.7876 0.0232
Ge 1.8070 10.5219 1.0757

4
Lattice="1.2150 0.4313 4.4831 -1.9981 -2.7094 3.2291 2.4755 -3.3627 2.0796" Properties=species:S:1:pos:R:3 comment="Ge2SeF | Alexandria | PBE | relaxed" e_form_raw_ev_per_atom=-0.423 energy_ev_per_atom=-4.07 relative_energy_mev_per_atom=87 pbc="T T T"
Ge 0.4231 -1.4102 2.4480
Ge 1.2693 -4.2306 7.3439
Se 0.8462 -2.8204 4.8959
F 0.0000 0.0000 0.0000

5
Lattice="4.4351 0.0000 0.0000 0.0000 4.4351 0.0000 0.0000 0.0000 4.4351" Properties=species:S:1:pos:R:3 comment="GeSeF3 | Alexandria | PBE | relaxed" e_form_raw_ev_per_atom=-0.551 energy_ev_per_atom=-3.29 relative_energy_mev_per_atom=1235 pbc="T T T"
Se 0.0000 0.0000 0.0000
F 2.2175 0.0000 0.0000
F 0.0000 0.0000 2.2175
F 0.0000 2.2175 0.0000
Ge 2.2175 2.2175 2.2175